{"formula": "Sb2Ru2Cl", "functional": "GGA-PBE", "state": "relaxed", "n_ef_per_ev_fu": 3.4, "relative_energy_mev_per_atom": 0, "raw_formation_energy_ev_per_atom": 0.0617, "lattice": [[7.759, 0.000, 0.000], [0.000, 7.759, 0.000], [0.000, 0.000, 3.122]], "species": ["Sb", "Sb", "Sb", "Sb", "Cl", "Cl", "Ru", "Ru", "Ru", "Ru"], "frac_coords": [[0.349, 0.151, 0.500], [0.151, 0.651, 0.500], [0.651, 0.849, 0.500], [0.849, 0.349, 0.500], [0.500, 0.500, 0.000], [0.000, 0.000, 0.000], [0.638, 0.138, 0.000], [0.862, 0.638, 0.000], [0.138, 0.362, 0.000], [0.362, 0.862, 0.000]]}